No. 1
Here is a relaxed PuInCuO6 crystal from the Alexandria database. Energies are from PBE.

Symmetry = P-31c (163)
Energy = -130.556 eV/cell
E_form (uncorrected) = -1.60 eV per atom

abc: 5.237 5.237 9.573
angles: 90.00 90.00 120.00
Last column: magnetic moment on the atom in μB.
Sites, in units of the cell vectors:
O (0.659, 0.653, 0.132)  0.16
O (0.341, 0.993, 0.632)  0.16
O (0.347, 0.007, 0.132)  0.16
O (0.007, 0.347, 0.632)  0.16
O (0.653, 0.993, 0.868)  0.16
O (0.341, 0.347, 0.868)  0.16
O (0.993, 0.653, 0.368)  0.16
O (0.659, 0.007, 0.368)  0.16
O (0.347, 0.341, 0.368)  0.16
O (0.993, 0.341, 0.132)  0.16
O (0.653, 0.659, 0.632)  0.16
O (0.007, 0.659, 0.868)  0.16
In (0.000, 0.000, 0.500)  0.01
In (0.000, 0.000, 0.000)  0.01
Cu (0.333, 0.667, 0.250)  0.65
Cu (0.667, 0.333, 0.750)  0.65
Pu (0.667, 0.333, 0.250)  -1.73
Pu (0.333, 0.667, 0.750)  -1.73

No. 2
Here is a relaxed Rb2InCuO crystal from the Alexandria database. Energies are from PBE.

Symmetry = P4/mmm (123)
Energy = -12.507 eV/cell
E_form (uncorrected) = 0.24 eV per atom

abc: 6.029 4.965 6.029
angles: 90.00 90.00 90.00
Last column: magnetic moment on the atom in μB.
Sites, in units of the cell vectors:
In (0.000, 0.500, 0.000)  0.04
Rb (0.000, 0.000, 0.500)  0.01
Rb (0.500, 0.000, 0.000)  0.01
O (0.500, 0.500, 0.500)  -0.40
Cu (0.000, 0.000, 0.000)  0.01

No. 3
Here is a relaxed RbInCuO3 crystal from the Alexandria database. Energies are from PBE.

Symmetry = P2_1/m (11)
Energy = -58.855 eV/cell
E_form (uncorrected) = -1.13 eV per atom

abc: 3.560 7.352 9.462
angles: 115.36 90.00 90.00
Last column: magnetic moment on the atom in μB.
Sites, in units of the cell vectors:
O (0.750, 0.892, 0.154)  0.12
O (0.250, 0.886, 0.387)  0.25
O (0.250, 0.517, 0.876)  0.01
O (0.750, 0.483, 0.124)  0.01
O (0.750, 0.114, 0.613)  0.25
O (0.250, 0.108, 0.846)  0.12
Rb (0.250, 0.226, 0.191)  0.00
Rb (0.750, 0.774, 0.809)  0.00
In (0.750, 0.319, 0.870)  0.00
In (0.250, 0.681, 0.130)  0.00
Cu (0.250, 0.021, 0.620)  0.56
Cu (0.750, 0.979, 0.380)  0.56

No. 4
Here is a relaxed InCu2RuO6 crystal from the Alexandria database. Energies are from PBE.

Symmetry = C2/c (15)
Energy = -117.525 eV/cell
E_form (uncorrected) = -0.88 eV per atom

abc: 5.412 6.739 6.739
angles: 85.96 84.41 84.41
Sites, in units of the cell vectors:
O (0.139, 0.291, 0.464)
O (0.425, 0.844, 0.367)
O (0.925, 0.367, 0.844)
O (0.876, 0.008, 0.214)
O (0.575, 0.156, 0.633)
O (0.124, 0.992, 0.786)
O (0.624, 0.786, 0.992)
O (0.376, 0.214, 0.008)
O (0.075, 0.633, 0.156)
O (0.861, 0.709, 0.536)
O (0.639, 0.464, 0.291)
O (0.361, 0.536, 0.709)
Ru (0.750, 0.717, 0.283)
Ru (0.250, 0.283, 0.717)
Cu (0.697, 0.594, 0.781)
Cu (0.303, 0.406, 0.219)
Cu (0.197, 0.781, 0.594)
Cu (0.803, 0.219, 0.406)
In (0.750, 0.089, 0.911)
In (0.250, 0.911, 0.089)

No. 5
Here is a relaxed InCu2RuO8 crystal from the Alexandria database. Energies are from PBE.

Symmetry = I-4m2 (119)
Energy = -65.219 eV/cell
E_form (uncorrected) = -0.45 eV per atom

abc: 5.658 5.658 5.658
angles: 109.82 109.82 108.77
Last column: magnetic moment on the atom in μB.
Sites, in units of the cell vectors:
Cu (0.750, 0.250, 0.500)  0.14
Cu (0.500, 0.500, 0.000)  -0.05
O (0.504, 0.705, 0.800)  0.01
O (0.980, 0.315, 0.335)  0.06
O (0.295, 0.496, 0.200)  0.01
O (0.355, 0.020, 0.335)  0.06
O (0.905, 0.705, 0.200)  0.01
O (0.295, 0.095, 0.800)  0.01
O (0.685, 0.020, 0.665)  0.06
O (0.980, 0.645, 0.665)  0.06
Ru (0.250, 0.750, 0.500)  0.07
In (0.000, 0.000, 0.000)  0.01

No. 6
Here is a relaxed InCuSO crystal from the Alexandria database. Energies are from PBE.

Symmetry = P4/nmm (129)
Energy = -36.847 eV/cell
E_form (uncorrected) = -0.63 eV per atom

abc: 3.833 3.833 8.181
angles: 90.00 90.00 90.00
Sites, in units of the cell vectors:
In (0.000, 0.500, 0.128)
In (0.500, 0.000, 0.872)
O (0.000, 0.000, 0.000)
O (0.500, 0.500, 0.000)
S (0.000, 0.500, 0.673)
S (0.500, 0.000, 0.327)
Cu (0.000, 0.000, 0.500)
Cu (0.500, 0.500, 0.500)

No. 7
Here is a relaxed InCuSbO5 crystal from the Alexandria database. Energies are from PBE.

Symmetry = C2/c (15)
Energy = -86.696 eV/cell
E_form (uncorrected) = -0.95 eV per atom

abc: 5.668 5.668 7.740
angles: 104.79 104.79 107.96
Last column: magnetic moment on the atom in μB.
Sites, in units of the cell vectors:
O (0.348, 0.015, 0.715)  0.08
O (0.862, 0.138, 0.750)  0.01
O (0.985, 0.652, 0.785)  0.08
O (0.375, 0.328, 0.072)  0.14
O (0.015, 0.348, 0.215)  0.08
O (0.625, 0.672, 0.928)  0.14
O (0.138, 0.862, 0.250)  0.01
O (0.652, 0.985, 0.285)  0.08
O (0.672, 0.625, 0.428)  0.14
O (0.328, 0.375, 0.572)  0.14
In (0.000, 0.000, 0.500)  0.00
In (0.000, 0.000, 0.000)  0.00
Sb (0.645, 0.355, 0.750)  -0.01
Sb (0.355, 0.645, 0.250)  -0.01
Cu (0.317, 0.683, 0.750)  0.56
Cu (0.683, 0.317, 0.250)  0.56

No. 8
Here is a relaxed InCu2SbO6 crystal from the Alexandria database. Energies are from PBE.

Symmetry = C2/c (15)
Energy = -109.220 eV/cell
E_form (uncorrected) = -0.98 eV per atom

abc: 6.007 7.192 7.192
angles: 78.52 72.02 72.02
Last column: magnetic moment on the atom in μB.
Sites, in units of the cell vectors:
In (0.750, 0.100, 0.900)  0.01
In (0.250, 0.900, 0.100)  0.01
O (0.820, 0.017, 0.194)  0.05
O (0.180, 0.983, 0.806)  0.05
O (0.111, 0.651, 0.180)  0.10
O (0.808, 0.445, 0.261)  0.22
O (0.889, 0.349, 0.820)  0.10
O (0.320, 0.194, 0.017)  0.05
O (0.680, 0.806, 0.983)  0.05
O (0.192, 0.555, 0.739)  0.22
O (0.389, 0.820, 0.349)  0.10
O (0.692, 0.739, 0.555)  0.22
O (0.611, 0.180, 0.651)  0.10
O (0.308, 0.261, 0.445)  0.22
Sb (0.750, 0.740, 0.260)  -0.01
Sb (0.250, 0.260, 0.740)  -0.01
Cu (0.652, 0.241, 0.368)  0.60
Cu (0.848, 0.632, 0.759)  0.60
Cu (0.152, 0.368, 0.241)  0.60
Cu (0.348, 0.759, 0.632)  0.60

No. 9
Here is a relaxed In2CuSbO6 crystal from the Alexandria database. Energies are from PBE.

Symmetry = R3 (146)
Energy = -56.335 eV/cell
E_form (uncorrected) = -1.29 eV per atom

abc: 5.502 5.503 5.916
angles: 62.29 62.29 60.00
Last column: magnetic moment on the atom in μB.
Sites, in units of the cell vectors:
Cu (0.760, 0.760, 0.720)  0.13
O (0.409, 0.705, 0.752)  0.01
O (0.243, 0.952, 0.218)  0.00
O (0.588, 0.243, 0.218)  0.00
O (0.952, 0.588, 0.218)  0.00
O (0.705, 0.134, 0.752)  0.01
O (0.134, 0.409, 0.752)  0.01
Sb (0.325, 0.325, 0.024)  0.00
In (0.016, 0.016, 0.952)  0.00
In (0.530, 0.530, 0.410)  0.00

No. 10
Here is a relaxed In2CuSeO crystal from the Alexandria database. Energies are from PBE.

Symmetry = P4/mmm (123)
Energy = -19.148 eV/cell
E_form (uncorrected) = -0.23 eV per atom

abc: 5.359 3.609 5.359
angles: 90.00 90.00 90.00
Sites, in units of the cell vectors:
O (0.000, 0.500, 0.000)
In (0.000, 0.000, 0.500)
In (0.500, 0.000, 0.000)
Cu (0.000, 0.000, 0.000)
Se (0.500, 0.500, 0.500)

No. 11
Here is a relaxed SrInCuO3 crystal from the Alexandria database. Energies are from PBE.

Symmetry = C2/m (12)
Energy = -63.626 eV/cell
E_form (uncorrected) = -1.40 eV per atom

abc: 5.949 5.949 6.200
angles: 69.40 69.40 68.84
Sites, in units of the cell vectors:
O (0.684, 0.684, 0.480)
O (0.300, 0.850, 0.162)
O (0.700, 0.150, 0.838)
O (0.150, 0.700, 0.838)
O (0.316, 0.316, 0.520)
O (0.850, 0.300, 0.162)
In (0.908, 0.908, 0.277)
In (0.092, 0.092, 0.723)
Sr (0.700, 0.700, 0.885)
Sr (0.300, 0.300, 0.115)
Cu (0.289, 0.711, 0.500)
Cu (0.711, 0.289, 0.500)

No. 12
Here is a relaxed Sr3InCu2O6 crystal from the Alexandria database. Energies are from PBE.

Symmetry = P-3m1 (164)
Energy = -64.946 eV/cell
E_form (uncorrected) = -1.60 eV per atom

abc: 5.978 5.978 6.399
angles: 90.00 90.00 120.00
Last column: magnetic moment on the atom in μB.
Sites, in units of the cell vectors:
O (0.166, 0.332, 0.296)  0.07
O (0.332, 0.166, 0.704)  0.07
O (0.834, 0.166, 0.704)  0.07
O (0.668, 0.834, 0.296)  0.07
O (0.834, 0.668, 0.704)  0.07
O (0.166, 0.834, 0.296)  0.07
Sr (0.667, 0.333, 0.371)  0.00
Sr (0.000, 0.000, 0.000)  0.00
Sr (0.333, 0.667, 0.629)  0.00
Cu (0.333, 0.667, 0.173)  0.26
Cu (0.667, 0.333, 0.827)  0.26
In (0.000, 0.000, 0.500)  0.00